[1]
VASP calculation (PBE) on Pa2AgPd after structural relaxation.

Computed properties:
* offset from the most stable computed form: 152 meV per atom
* DFT formation energy: 60 meV/atom

Cell lengths 5.0200, 5.0200, 5.0200 Å; angles 60.00, 60.00, 60.00 degrees
Sites, in units of the cell vectors:
Pa 0.2500 0.2500 0.2500
Pa 0.7500 0.7500 0.7500
Pd 0.0000 0.0000 0.0000
Ag 0.5000 0.5000 0.5000



[2]
VASP calculation (PBE) on TiIrI2O after structural relaxation.

Computed properties:
* raw formation energy: -0.1165 eV per atom
* offset from the most stable computed form: 0 meV per atom

Cell lengths 5.4581, 5.4581, 3.6445 Å; angles 90.00, 90.00, 90.00 degrees
Sites, in units of the cell vectors:
I 0.0000 0.5000 0.0000
I 0.5000 0.0000 0.0000
Ir 0.5000 0.5000 0.5000
O 0.0000 0.0000 0.5000
Ti 0.0000 0.0000 0.0000